The following is a DFT calculation (PBE with a Hubbard U) of a relaxed InCo2PbO6 crystal.

* total DFT energy (no corrections): -5.704 eV per atom
* space-group type: R3, No. 146
* total magnetic moment: 2.96 μB/f.u.

Cell: 5.348 5.348 5.590 Å, 61.42 61.42 60.00°
Fractional positions:
In  0.805  0.805  0.585
O  0.640  0.249  0.247
O  0.722  0.152  0.730
O  0.396  0.722  0.730
O  0.864  0.640  0.247
O  0.249  0.864  0.247
O  0.152  0.396  0.730
Pb  0.299  0.299  0.104
Co  0.511  0.511  0.468
Co  0.024  0.024  0.927